First-principles (PBE) data for crystalline LiLaNiPt at its relaxed geometry, as listed in Alexandria.

a = 6.546 Å, b = 6.546 Å, c = 6.546 Å
α = 90.00°, β = 90.00°, γ = 90.00°
Space group F-43m (No. 216)
Unique sites:
Li 0.000 0.000 0.000 (multiplicity 4)
La 0.250 0.250 0.750 (multiplicity 4)
Ni 0.000 0.000 0.500 (multiplicity 4)
Pt 0.250 0.250 0.250 (multiplicity 4)

Values from the calculation:
formation enthalpy at 0 K: -10.482 kcal/mol of atoms